1.
# IrS2I (GGA-PBE, relaxed)
# DOS(E_F)   0.086 states/eV/atom
# Volume   90.2 Å³/f.u.
data_IrS2I
_chemical_formula_sum 'Ir3 S6 I3'
_space_group_name_H-M_alt 'R -3 m'
_space_group_IT_number 166
_space_group_name_Hall '-R 3 2"'
_cell_length_a 3.7379
_cell_length_b 3.7379
_cell_length_c 22.3725
_cell_angle_alpha 90.00
_cell_angle_beta 90.00
_cell_angle_gamma 120.00
loop_
_atom_site_label
_atom_site_type_symbol
_atom_site_fract_x
_atom_site_fract_y
_atom_site_fract_z
Ir1 Ir 0.0000 0.0000 0.0000
S1 S 0.0000 0.0000 0.3817
I1 I 0.0000 0.0000 0.5000

---

2.
# IrS2I (GGA-PBE, relaxed)
# DOS(E_F)   1.382 states/eV/atom
# Volume   107.0 Å³/f.u.
data_IrS2I
_chemical_formula_sum 'Ir1 S2 I1'
_space_group_name_H-M_alt 'P 3 m 1'
_space_group_IT_number 156
_cell_length_a 3.5370
_cell_length_b 3.5370
_cell_length_c 9.8733
_cell_angle_alpha 90.00
_cell_angle_beta 90.00
_cell_angle_gamma 120.00
loop_
_space_group_symop_operation_xyz
'x,y,z'
'-y,x-y,z'
'-x+y,-x,z'
'-y,-x,z'
'-x+y,y,z'
'x,x-y,z'
loop_
_atom_site_label
_atom_site_type_symbol
_atom_site_fract_x
_atom_site_fract_y
_atom_site_fract_z
Ir1 Ir 0.0000 0.0000 0.0000
S1 S 0.3333 0.6667 0.8837
S2 S 0.6667 0.3333 0.1294
I1 I 0.6667 0.3333 0.5619

---

3.
# IrS2I (GGA-PBE, relaxed)
# DOS(E_F)   0.822 states/eV/atom
# Volume   71.7 Å³/f.u.
data_IrS2I
_chemical_formula_sum 'Ir4 S8 I4'
_space_group_name_H-M_alt 'F m -3 m'
_space_group_IT_number 225
_space_group_name_Hall '-F 4 2 3'
_cell_length_a 6.5955
_cell_length_b 6.5955
_cell_length_c 6.5955
_cell_angle_alpha 90.00
_cell_angle_beta 90.00
_cell_angle_gamma 90.00
loop_
_atom_site_label
_atom_site_type_symbol
_atom_site_fract_x
_atom_site_fract_y
_atom_site_fract_z
Ir1 Ir 0.0000 0.0000 0.0000
S1 S 0.2500 0.2500 0.2500
I1 I 0.0000 0.0000 0.5000

---

4.
# Ir3SI (GGA-PBE, relaxed)
# DOS(E_F)   1.242 states/eV/atom
# Volume   93.0 Å³/f.u.
data_Ir3SI
_chemical_formula_sum 'Ir3 S1 I1'
_space_group_name_H-M_alt 'P m -3 m'
_space_group_IT_number 221
_space_group_name_Hall '-P 4 2 3'
_cell_length_a 4.5304
_cell_length_b 4.5304
_cell_length_c 4.5304
_cell_angle_alpha 90.00
_cell_angle_beta 90.00
_cell_angle_gamma 90.00
loop_
_atom_site_label
_atom_site_type_symbol
_atom_site_fract_x
_atom_site_fract_y
_atom_site_fract_z
Ir1 Ir 0.0000 0.0000 0.5000
S1 S 0.0000 0.0000 0.0000
I1 I 0.5000 0.5000 0.5000

---

5.
# Ir3SI (GGA-PBE, relaxed)
# DOS(E_F)   1.563 states/eV/atom
# Volume   116.4 Å³/f.u.
data_Ir3SI
_chemical_formula_sum 'Ir3 S1 I1'
_space_group_name_H-M_alt 'P m -3 m'
_space_group_IT_number 221
_space_group_name_Hall '-P 4 2 3'
_cell_length_a 4.8823
_cell_length_b 4.8823
_cell_length_c 4.8823
_cell_angle_alpha 90.00
_cell_angle_beta 90.00
_cell_angle_gamma 90.00
loop_
_atom_site_label
_atom_site_type_symbol
_atom_site_fract_x
_atom_site_fract_y
_atom_site_fract_z
Ir1 Ir 0.0000 0.0000 0.5000
S1 S 0.5000 0.5000 0.5000
I1 I 0.0000 0.0000 0.0000

---

6.
# Ir2S2I (GGA-PBE, relaxed)
# DOS(E_F)   0.741 states/eV/atom
# Volume   116.5 Å³/f.u.
data_Ir2S2I
_chemical_formula_sum 'Ir4 S4 I2'
_space_group_name_H-M_alt 'I 4/m m m'
_space_group_IT_number 139
_space_group_name_Hall '-I 4 2'
_cell_length_a 3.8591
_cell_length_b 3.8591
_cell_length_c 15.6518
_cell_angle_alpha 90.00
_cell_angle_beta 90.00
_cell_angle_gamma 90.00
loop_
_atom_site_label
_atom_site_type_symbol
_atom_site_fract_x
_atom_site_fract_y
_atom_site_fract_z
Ir1 Ir 0.0000 0.5000 0.2500
S1 S 0.0000 0.0000 0.1629
I1 I 0.0000 0.0000 0.5000

---

7.
# IrS2I2 (GGA-PBE, relaxed)
# DOS(E_F)   0.654 states/eV/atom
# Volume   205.4 Å³/f.u.
data_IrS2I2
_chemical_formula_sum 'Ir2 S4 I4'
_space_group_name_H-M_alt 'P 4/m b m'
_space_group_IT_number 127
_space_group_name_Hall '-P 4 2ab'
_cell_length_a 7.1191
_cell_length_b 7.1191
_cell_length_c 8.1043
_cell_angle_alpha 90.00
_cell_angle_beta 90.00
_cell_angle_gamma 90.00
loop_
_atom_site_label
_atom_site_type_symbol
_atom_site_fract_x
_atom_site_fract_y
_atom_site_fract_z
Ir1 Ir 0.0000 0.0000 0.0000
S1 S 0.0945 0.4055 0.5000
I1 I 0.1774 0.6774 0.0000

---

8.
# Ir2SI (GGA-PBE, relaxed)
# DOS(E_F)   1.482 states/eV/atom
# Volume   68.4 Å³/f.u.
data_Ir2SI
_chemical_formula_sum 'Ir8 S4 I4'
_space_group_name_H-M_alt 'F m -3 m'
_space_group_IT_number 225
_space_group_name_Hall '-F 4 2 3'
_cell_length_a 6.4934
_cell_length_b 6.4934
_cell_length_c 6.4934
_cell_angle_alpha 90.00
_cell_angle_beta 90.00
_cell_angle_gamma 90.00
loop_
_atom_site_label
_atom_site_type_symbol
_atom_site_fract_x
_atom_site_fract_y
_atom_site_fract_z
Ir1 Ir 0.2500 0.2500 0.2500
S1 S 0.0000 0.0000 0.0000
I1 I 0.0000 0.0000 0.5000

---

9.
# Ir2S2I (GGA-PBE, relaxed)
# DOS(E_F)   0.962 states/eV/atom
# Volume   103.1 Å³/f.u.
data_Ir2S2I
_chemical_formula_sum 'Ir4 S4 I2'
_space_group_name_H-M_alt 'P 4/m b m'
_space_group_IT_number 127
_space_group_name_Hall '-P 4 2ab'
_cell_length_a 8.4238
_cell_length_b 8.4238
_cell_length_c 2.9054
_cell_angle_alpha 90.00
_cell_angle_beta 90.00
_cell_angle_gamma 90.00
loop_
_atom_site_label
_atom_site_type_symbol
_atom_site_fract_x
_atom_site_fract_y
_atom_site_fract_z
Ir1 Ir 0.1130 0.3870 0.0000
S1 S 0.1209 0.6209 0.5000
I1 I 0.0000 0.0000 0.5000

---

10.
# IrS2I2 (GGA-PBE, relaxed)
# DOS(E_F)   1.010 states/eV/atom
# Volume   131.3 Å³/f.u.
data_IrS2I2
_chemical_formula_sum 'Ir2 S4 I4'
_space_group_name_H-M_alt 'I 4/m m m'
_space_group_IT_number 139
_space_group_name_Hall '-I 4 2'
_cell_length_a 3.4094
_cell_length_b 3.4094
_cell_length_c 22.5849
_cell_angle_alpha 90.00
_cell_angle_beta 90.00
_cell_angle_gamma 90.00
loop_
_atom_site_label
_atom_site_type_symbol
_atom_site_fract_x
_atom_site_fract_y
_atom_site_fract_z
Ir1 Ir 0.0000 0.0000 0.0000
S1 S 0.0000 0.5000 0.2500
I1 I 0.0000 0.0000 0.4247

---

11.
# Ir2SI (GGA-PBE, relaxed)
# DOS(E_F)   0.337 states/eV/atom
# Volume   84.2 Å³/f.u.
data_Ir2SI
_chemical_formula_sum 'Ir8 S4 I4'
_space_group_name_H-M_alt 'I -4 2 d'
_space_group_IT_number 122
_space_group_name_Hall 'I -4 2bw'
_cell_length_a 4.8919
_cell_length_b 4.8919
_cell_length_c 14.0768
_cell_angle_alpha 90.00
_cell_angle_beta 90.00
_cell_angle_gamma 90.00
loop_
_atom_site_label
_atom_site_type_symbol
_atom_site_fract_x
_atom_site_fract_y
_atom_site_fract_z
Ir1 Ir 0.1448 0.2500 0.1250
S1 S 0.0000 0.0000 0.0000
I1 I 0.0000 0.0000 0.5000

---

12.
# IrS2I (GGA-PBE, relaxed)
# DOS(E_F)   1.483 states/eV/atom
# Volume   98.3 Å³/f.u.
data_IrS2I
_chemical_formula_sum 'Ir3 S6 I3'
_space_group_name_H-M_alt 'R -3 m'
_space_group_IT_number 166
_space_group_name_Hall '-R 3 2"'
_cell_length_a 2.9850
_cell_length_b 2.9850
_cell_length_c 38.2080
_cell_angle_alpha 90.00
_cell_angle_beta 90.00
_cell_angle_gamma 120.00
loop_
_atom_site_label
_atom_site_type_symbol
_atom_site_fract_x
_atom_site_fract_y
_atom_site_fract_z
Ir1 Ir 0.0000 0.0000 0.0000
S1 S 0.0000 0.0000 0.0584
I1 I 0.0000 0.0000 0.5000

---

no.,E_form (uncorrected) (meV/atom)
1,-161
2,-81
3,1208
4,1154
5,2371
6,61
7,580
8,1056
9,818
10,761
11,368
12,568